A plane-wave DFT calculation with PBE was carried out for a relaxed structure of Nd6BiTe3Ir2.

```
data_Nd6BiTe3Ir2
_chemical_formula_sum 'Nd12 Bi2 Te6 Ir4'
_symmetry_space_group_name_H-M 'C 1 2/m 1'
_symmetry_Int_Tables_number 12
_cell_length_a 19.563
_cell_length_b 4.353
_cell_length_c 9.073
_cell_angle_alpha 90.00
_cell_angle_beta 105.91
_cell_angle_gamma 90.00
loop_
_symmetry_equiv_pos_as_xyz
'x,y,z'
'-x,-y,-z'
'-x,y,-z'
'x,-y,z'
'x+1/2,y+1/2,z'
'-x+1/2,-y+1/2,-z'
'-x+1/2,y+1/2,-z'
'x+1/2,-y+1/2,z'
loop_
_atom_site_label
_atom_site_type_symbol
_atom_site_fract_x
_atom_site_fract_y
_atom_site_fract_z
Nd1 Nd 0.018 0.000 0.260
Nd2 Nd 0.172 0.500 0.124
Nd3 Nd 0.177 0.500 0.564
Bi1 Bi 0.000 0.500 0.000
Te1 Te 0.000 0.500 0.500
Te2 Te 0.159 0.000 0.838
Ir1 Ir 0.170 0.000 0.339
```

Values from the calculation:
- E_form (uncorrected): -1.074 eV per atom
- Total magnetic moment: 0.00 μB/f.u.
- Density of states at the Fermi level: 0.4008 states/eV per atom
- DFT total energy: -145.05 eV/cell

A plane-wave DFT calculation with PBE was carried out for a relaxed structure of Ag2PdF7.

```
data_Ag2PdF7
_chemical_formula_sum 'Ag8 Pd4 F28'
_symmetry_space_group_name_H-M 'C 1 2/c 1'
_symmetry_Int_Tables_number 15
_cell_length_a 10.757
_cell_length_b 7.628
_cell_length_c 9.775
_cell_angle_alpha 90.00
_cell_angle_beta 120.39
_cell_angle_gamma 90.00
loop_
_symmetry_equiv_pos_as_xyz
'x,y,z'
'-x,-y,-z'
'-x,y,-z+1/2'
'x,-y,z+1/2'
'x+1/2,y+1/2,z'
'-x+1/2,-y+1/2,-z'
'-x+1/2,y+1/2,-z+1/2'
'x+1/2,-y+1/2,z+1/2'
loop_
_atom_site_label
_atom_site_type_symbol
_atom_site_fract_x
_atom_site_fract_y
_atom_site_fract_z
Ag1 Ag 0.162 0.154 0.202
Pd1 Pd 0.000 0.290 0.750
F1 F 0.000 0.215 0.250
F2 F 0.025 0.288 0.963
F3 F 0.156 0.118 0.810
F4 F 0.156 0.462 0.811
```

Values from the calculation:
- E_form (uncorrected): -1.183 eV per atom
- Total magnetic moment: 0.96 μB/f.u.
- Density of states at the Fermi level: 0.2237 states/eV per atom
- DFT total energy: -143.31 eV/cell

A plane-wave DFT calculation with PBE was carried out for a relaxed structure of Nd2Dy3YAs6.

```
data_Nd2Dy3YAs6
_chemical_formula_sum 'Nd4 Dy6 Y2 As12'
_symmetry_space_group_name_H-M 'C 1 2/m 1'
_symmetry_Int_Tables_number 12
_cell_length_a 18.181
_cell_length_b 4.174
_cell_length_c 8.342
_cell_angle_alpha 90.00
_cell_angle_beta 103.25
_cell_angle_gamma 90.00
loop_
_symmetry_equiv_pos_as_xyz
'x,y,z'
'-x,-y,-z'
'-x,y,-z'
'x,-y,z'
'x+1/2,y+1/2,z'
'-x+1/2,-y+1/2,-z'
'-x+1/2,y+1/2,-z'
'x+1/2,-y+1/2,z'
loop_
_atom_site_label
_atom_site_type_symbol
_atom_site_fract_x
_atom_site_fract_y
_atom_site_fract_z
Nd1 Nd 0.166 0.000 0.332
Dy1 Dy 0.000 0.500 0.500
Dy2 Dy 0.167 0.000 0.834
Y1 Y 0.000 0.500 0.000
As1 As 0.003 0.000 0.751
As2 As 0.165 0.500 0.589
As3 As 0.166 0.500 0.077
```

Values from the calculation:
- Total magnetic moment: 0.00 μB/f.u.
- Density of states at the Fermi level: 0.1471 states/eV per atom
- DFT total energy: -152.00 eV/cell

A plane-wave DFT calculation with PBE was carried out for a relaxed structure of MgBPd3.

```
data_MgBPd3
_chemical_formula_sum 'Mg1 B1 Pd3'
_symmetry_space_group_name_H-M 'P m -3 m'
_symmetry_Int_Tables_number 221
_symmetry_space_group_name_Hall '-P 4 2 3'
_cell_length_a 4.192
_cell_length_b 4.192
_cell_length_c 4.192
_cell_angle_alpha 90.00
_cell_angle_beta 90.00
_cell_angle_gamma 90.00
loop_
_atom_site_label
_atom_site_type_symbol
_atom_site_fract_x
_atom_site_fract_y
_atom_site_fract_z
Mg1 Mg 0.000 0.000 0.000
B1 B 0.500 0.500 0.500
Pd1 Pd 0.000 0.500 0.500
```

Values from the calculation:
- Total magnetic moment: 0.00 μB/f.u.
- Relative energy among the computed polymorphs: 20 meV/atom
- Density of states at the Fermi level: 0.8232 states/eV per atom
- DFT total energy: -26.18 eV/cell